# 1
A plane-wave DFT calculation with PBE was carried out for crystalline Dy2TmPa2Ru5 at its relaxed geometry.

density	11811	kg/m³
D(E_F)	0.65	states/eV/atom
electronic total energy	-164.640	eV per cell
space group	P4/mbm, No. 127

Cell: 3.652 10.607 10.607 Å, 90.00 90.00 90.00°
Positions (direct):
Pa: 0.000 0.636 0.864
Pa: 0.000 0.864 0.364
Pa: 0.000 0.364 0.136
Pa: 0.000 0.136 0.636
Ru: 0.500 0.207 0.054
Ru: 0.500 0.500 0.000
Ru: 0.500 0.946 0.207
Ru: 0.500 0.446 0.293
Ru: 0.500 0.707 0.446
Ru: 0.500 0.293 0.554
Ru: 0.500 0.000 0.500
Ru: 0.500 0.054 0.793
Ru: 0.500 0.793 0.946
Ru: 0.500 0.554 0.707
Dy: 0.000 0.672 0.172
Dy: 0.000 0.172 0.328
Dy: 0.000 0.328 0.828
Dy: 0.000 0.828 0.672
Tm: 0.000 0.000 0.000
Tm: 0.000 0.500 0.500



# 2
A plane-wave DFT calculation with PBE was carried out for crystalline Dy2YPaRu2 at its relaxed geometry.

density	8935	kg/m³
D(E_F)	0.92	states/eV/atom
electronic total energy	-90.915	eV per cell
space group	Ibam, No. 72

Cell: 6.717 6.876 8.341 Å, 114.34 113.74 90.00°
Positions (direct):
Pa: 0.250 0.500 0.000
Pa: 0.750 0.500 0.000
Dy: 0.803 0.498 0.606
Dy: 0.197 0.502 0.394
Dy: 0.303 0.109 0.606
Dy: 0.697 0.891 0.394
Y: 0.250 0.000 0.000
Y: 0.750 0.000 0.000
Ru: 0.603 0.401 0.207
Ru: 0.103 0.806 0.207
Ru: 0.397 0.599 0.793
Ru: 0.897 0.194 0.793



# 3
A plane-wave DFT calculation with PBE was carried out for crystalline DyY2Pa2Ru5 at its relaxed geometry.

density	10446	kg/m³
D(E_F)	0.61	states/eV/atom
electronic total energy	-172.153	eV per cell
space group	P4/mbm, No. 127

Cell: 3.689 10.616 10.616 Å, 90.00 90.00 90.00°
Positions (direct):
Y: 0.000 0.327 0.827
Y: 0.000 0.173 0.327
Y: 0.000 0.827 0.673
Y: 0.000 0.673 0.173
Dy: 0.000 0.500 0.500
Dy: 0.000 0.000 0.000
Pa: 0.000 0.634 0.866
Pa: 0.000 0.366 0.134
Pa: 0.000 0.866 0.366
Pa: 0.000 0.134 0.634
Ru: 0.500 0.291 0.556
Ru: 0.500 0.500 0.000
Ru: 0.500 0.000 0.500
Ru: 0.500 0.709 0.444
Ru: 0.500 0.944 0.209
Ru: 0.500 0.556 0.709
Ru: 0.500 0.209 0.056
Ru: 0.500 0.056 0.791
Ru: 0.500 0.791 0.944
Ru: 0.500 0.444 0.291



# 4
A plane-wave DFT calculation with PBE was carried out for crystalline Dy2ZrPa2Ru5 at its relaxed geometry.

density	11468	kg/m³
D(E_F)	0.77	states/eV/atom
electronic total energy	-172.838	eV per cell
space group	P4/mbm, No. 127

Cell: 3.560 10.609 10.609 Å, 90.00 90.00 90.00°
Positions (direct):
Ru: 0.500 0.700 0.448
Ru: 0.500 0.500 0.000
Ru: 0.500 0.300 0.552
Ru: 0.500 0.000 0.500
Ru: 0.500 0.948 0.200
Ru: 0.500 0.552 0.700
Ru: 0.500 0.800 0.948
Ru: 0.500 0.200 0.052
Ru: 0.500 0.448 0.300
Ru: 0.500 0.052 0.800
Pa: 0.000 0.640 0.860
Pa: 0.000 0.140 0.640
Pa: 0.000 0.860 0.360
Pa: 0.000 0.360 0.140
Dy: 0.000 0.170 0.330
Dy: 0.000 0.830 0.670
Dy: 0.000 0.670 0.170
Dy: 0.000 0.330 0.830
Zr: 0.000 0.500 0.500
Zr: 0.000 0.000 0.000



# 5
A plane-wave DFT calculation with PBE was carried out for crystalline Dy2PaS at its relaxed geometry.

density	9300	kg/m³
D(E_F)	1.29	states/eV/atom
electronic total energy	-24.838	eV per cell
space group	R-3m, No. 166

Cell: 3.471 3.471 10.259 Å, 80.26 80.26 60.00°
Positions (direct):
Dy: 0.892 0.892 0.324
Dy: 0.108 0.108 0.676
S: 0.500 0.500 0.500
Pa: 0.000 0.000 0.000



# 6
A plane-wave DFT calculation with PBE was carried out for crystalline Dy4Pa3S8 at its relaxed geometry.

density	8005	kg/m³
D(E_F)	0.85	states/eV/atom
electronic total energy	-107.712	eV per cell
space group	C2/m, No. 12

Cell: 7.780 7.774 7.774 Å, 90.04 120.05 120.05°
Site moments in Bohr magnetons follow the coordinates.
Positions (direct):
Pa: 0.500 0.500 0.000  0.09
Pa: 0.500 0.000 0.500  0.09
Pa: 0.500 0.500 0.500  0.18
S: 0.500 0.248 0.752  0.00
S: 0.505 0.251 0.251  0.00
S: 0.495 0.749 0.749  0.00
S: 0.000 0.748 0.252  0.00
S: 0.000 0.252 0.748  0.00
S: 0.002 0.254 0.254  0.00
S: 0.998 0.746 0.746  0.00
S: 0.500 0.752 0.248  0.00
Dy: 0.000 0.000 0.000  0.00
Dy: 0.000 0.000 0.500  0.00
Dy: 0.000 0.500 0.000  0.00
Dy: 0.500 0.000 0.000  0.00



# 7
A plane-wave DFT calculation with PBE was carried out for crystalline Dy6PaS12 at its relaxed geometry.

density	5638	kg/m³
D(E_F)	0.91	states/eV/atom
electronic total energy	-122.117	eV per cell
space group	R-3, No. 148

Cell: 7.882 7.882 7.882 Å, 99.17 99.17 99.17°
Positions (direct):
S: 0.040 0.926 0.674
S: 0.572 0.821 0.422
S: 0.428 0.179 0.578
S: 0.821 0.422 0.572
S: 0.960 0.074 0.326
S: 0.926 0.674 0.040
S: 0.179 0.578 0.428
S: 0.074 0.326 0.960
S: 0.326 0.960 0.074
S: 0.578 0.428 0.179
S: 0.422 0.572 0.821
S: 0.674 0.040 0.926
Dy: 0.140 0.314 0.628
Dy: 0.686 0.372 0.860
Dy: 0.860 0.686 0.372
Dy: 0.314 0.628 0.140
Dy: 0.628 0.140 0.314
Dy: 0.372 0.860 0.686
Pa: 0.000 0.000 0.000



# 8
A plane-wave DFT calculation with PBE was carried out for crystalline DyPa2S6 at its relaxed geometry.

density	5474	kg/m³
D(E_F)	0.44	states/eV/atom
offset from the most stable computed form	80.3	meV/atom
electronic total energy	-62.587	eV per cell
space group	C2/m, No. 12

Cell: 5.143 7.248 7.732 Å, 71.76 70.58 69.22°
Site moments in Bohr magnetons follow the coordinates.
Positions (direct):
S: 0.372 0.706 0.550  -0.02
S: 0.254 0.362 0.130  -0.02
S: 0.034 0.149 0.782  -0.02
S: 0.966 0.851 0.218  -0.02
S: 0.746 0.638 0.870  -0.02
S: 0.628 0.294 0.450  -0.02
Pa: 0.185 0.744 0.886  0.55
Pa: 0.815 0.256 0.114  0.55
Dy: 0.000 0.500 0.500  0.01



# 9
A plane-wave DFT calculation with PBE was carried out for crystalline DyPaS2 at its relaxed geometry.

density	8986	kg/m³
D(E_F)	1.03	states/eV/atom
offset from the most stable computed form	109.1	meV/atom
electronic total energy	-29.014	eV per cell
space group	R3m, No. 160

Cell: 3.675 3.675 7.534 Å, 75.88 75.88 60.00°
Positions (direct):
Dy: 0.497 0.497 0.509
Pa: 0.669 0.669 0.992
S: 0.085 0.085 0.745
S: 0.248 0.248 0.255



# 10
A plane-wave DFT calculation with PBE was carried out for crystalline DyPaS2 at its relaxed geometry.

density	9082	kg/m³
D(E_F)	1.07	states/eV/atom
offset from the most stable computed form	2.5	meV/atom
electronic total energy	-29.441	eV per cell
space group	R-3m, No. 166

Cell: 3.791 3.791 7.069 Å, 74.44 74.44 60.00°
Site moments in Bohr magnetons follow the coordinates.
Positions (direct):
Dy: 0.500 0.500 0.500  0.00
S: 0.248 0.248 0.257  -0.01
S: 0.752 0.752 0.743  -0.01
Pa: 0.000 0.000 0.000  0.32



# 11
A plane-wave DFT calculation with PBE was carried out for crystalline DyPaS2 at its relaxed geometry.

density	9075	kg/m³
D(E_F)	1.07	states/eV/atom
offset from the most stable computed form	0.0	meV/atom
electronic total energy	-117.804	eV per cell
space group	C2/c, No. 15

Cell: 6.820 6.691 8.708 Å, 104.71 105.29 109.43°
Positions (direct):
S: 0.816 0.564 0.625
S: 0.061 0.813 0.125
S: 0.309 0.061 0.625
S: 0.939 0.187 0.875
S: 0.691 0.939 0.375
S: 0.564 0.312 0.125
S: 0.184 0.436 0.375
S: 0.436 0.688 0.875
Dy: 0.813 0.063 0.126
Dy: 0.187 0.937 0.874
Dy: 0.062 0.312 0.623
Dy: 0.938 0.688 0.377
Pa: 0.563 0.813 0.626
Pa: 0.437 0.187 0.374
Pa: 0.688 0.438 0.875
Pa: 0.312 0.562 0.125



# 12
A plane-wave DFT calculation with PBE was carried out for crystalline Dy2PaS5 at its relaxed geometry.

density	6914	kg/m³
D(E_F)	0.66	states/eV/atom
electronic total energy	-217.553	eV per cell
space group	Pnma, No. 62

Cell: 7.371 7.894 11.827 Å, 90.00 90.00 90.00°
Site moments in Bohr magnetons follow the coordinates.
Positions (direct):
Pa: 0.075 0.250 0.007  0.71
Pa: 0.925 0.750 0.993  0.71
Pa: 0.425 0.250 0.507  0.71
Pa: 0.575 0.750 0.493  0.71
Dy: 0.983 0.502 0.680  0.04
Dy: 0.517 0.502 0.180  0.04
Dy: 0.483 0.002 0.820  0.04
Dy: 0.517 0.998 0.180  0.04
Dy: 0.983 0.998 0.680  0.04
Dy: 0.017 0.498 0.320  0.04
Dy: 0.017 0.002 0.320  0.04
Dy: 0.483 0.498 0.820  0.04
S: 0.838 0.456 0.898  -0.02
S: 0.162 0.544 0.102  -0.02
S: 0.662 0.456 0.398  -0.02
S: 0.298 0.250 0.283  -0.01
S: 0.338 0.956 0.602  -0.02
S: 0.662 0.044 0.398  -0.02
S: 0.324 0.750 0.316  -0.01
S: 0.824 0.250 0.184  -0.01
S: 0.459 0.250 0.999  -0.01
S: 0.202 0.250 0.783  -0.01
S: 0.959 0.750 0.501  -0.01
S: 0.162 0.956 0.102  -0.02
S: 0.541 0.750 0.001  -0.01
S: 0.041 0.250 0.499  -0.01
S: 0.702 0.750 0.717  -0.01
S: 0.798 0.750 0.217  -0.01
S: 0.338 0.544 0.602  -0.02
S: 0.838 0.044 0.898  -0.02
S: 0.676 0.250 0.684  -0.01
S: 0.176 0.750 0.816  -0.01



- Which of these has the lowest density?
  DyPa2S6



Repeat the fourth record exactly.
A plane-wave DFT calculation with PBE was carried out for crystalline Dy2ZrPa2Ru5 at its relaxed geometry.

density	11468	kg/m³
D(E_F)	0.77	states/eV/atom
electronic total energy	-172.838	eV per cell
space group	P4/mbm, No. 127

Cell: 3.560 10.609 10.609 Å, 90.00 90.00 90.00°
Positions (direct):
Ru: 0.500 0.700 0.448
Ru: 0.500 0.500 0.000
Ru: 0.500 0.300 0.552
Ru: 0.500 0.000 0.500
Ru: 0.500 0.948 0.200
Ru: 0.500 0.552 0.700
Ru: 0.500 0.800 0.948
Ru: 0.500 0.200 0.052
Ru: 0.500 0.448 0.300
Ru: 0.500 0.052 0.800
Pa: 0.000 0.640 0.860
Pa: 0.000 0.140 0.640
Pa: 0.000 0.860 0.360
Pa: 0.000 0.360 0.140
Dy: 0.000 0.170 0.330
Dy: 0.000 0.830 0.670
Dy: 0.000 0.670 0.170
Dy: 0.000 0.330 0.830
Zr: 0.000 0.500 0.500
Zr: 0.000 0.000 0.000